DFT (PBE with a Hubbard U) results for an optimized crystal structure of KMn16O32.

Values from the calculation:
Space group: No. 83
Crystal system: tetragonal
Total DFT energy (no corrections) in eV for the cell shown: -347.4

Unit cell a=5.8805 b=9.9546 c=9.9546 alpha=90.00 beta=90.00 gamma=90.00
Each line ends with the local moment (μB).
Fractional positions:
K: 0.0000 0.5000 0.5000  0.00
Mn: 0.5000 0.6501 0.8338  3.33
Mn: 0.0000 0.6520 0.8358  3.32
Mn: 0.5000 0.1662 0.6501  3.33
Mn: 0.0000 0.1642 0.6520  3.32
Mn: 0.0000 0.8358 0.3480  3.32
Mn: 0.5000 0.8338 0.3499  3.33
Mn: 0.0000 0.3480 0.1642  3.32
Mn: 0.5000 0.3499 0.1662  3.33
Mn: 0.2501 0.1517 0.3329  3.32
Mn: 0.7499 0.1517 0.3329  3.32
Mn: 0.2501 0.6671 0.1517  3.32
Mn: 0.7499 0.6671 0.1517  3.32
Mn: 0.2501 0.3329 0.8483  3.32
Mn: 0.7499 0.3329 0.8483  3.32
Mn: 0.2501 0.8483 0.6671  3.32
Mn: 0.7499 0.8483 0.6671  3.32
O: 0.2507 0.3369 0.0418  -0.08
O: 0.7493 0.3369 0.0418  -0.08
O: 0.2507 0.9582 0.3369  -0.08
O: 0.7493 0.9582 0.3369  -0.08
O: 0.2507 0.0418 0.6631  -0.08
O: 0.7493 0.0418 0.6631  -0.08
O: 0.2507 0.6631 0.9582  -0.08
O: 0.7493 0.6631 0.9582  -0.08
O: 0.0000 0.8310 0.5427  -0.09
O: 0.5000 0.8324 0.5434  -0.09
O: 0.0000 0.4573 0.8310  -0.09
O: 0.5000 0.4566 0.8324  -0.09
O: 0.5000 0.5434 0.1676  -0.09
O: 0.0000 0.5427 0.1690  -0.09
O: 0.5000 0.1676 0.4566  -0.09
O: 0.0000 0.1690 0.4573  -0.09
O: 0.5000 0.1574 0.2043  -0.21
O: 0.0000 0.1559 0.2041  -0.21
O: 0.0000 0.7959 0.1559  -0.21
O: 0.5000 0.7957 0.1574  -0.21
O: 0.0000 0.8441 0.7959  -0.21
O: 0.5000 0.8426 0.7957  -0.21
O: 0.5000 0.2043 0.8426  -0.21
O: 0.0000 0.2041 0.8441  -0.21
O: 0.2478 0.6547 0.7044  -0.19
O: 0.7522 0.6547 0.7044  -0.19
O: 0.2478 0.2956 0.6547  -0.19
O: 0.7522 0.2956 0.6547  -0.19
O: 0.2478 0.3453 0.2956  -0.19
O: 0.7522 0.3453 0.2956  -0.19
O: 0.2478 0.7044 0.3453  -0.19
O: 0.7522 0.7044 0.3453  -0.19